The following is a PBE calculation of TlAsN2 after structural relaxation, from Alexandria.

Computed properties:
E_tot ... -16.7 eV/f.u.
Relative energy among the computed polymorphs ... 110.91 kJ per mole of atoms
Crystal system ... cubic
D(E_F) ... 0.52 states/eV/atom
Formation energy without anion corrections ... 1730 meV per atom

```
TlAsN2
1.0
0.0000 2.9919 2.9919
2.9919 0.0000 2.9919
2.9919 2.9919 0.0000
Tl As N
1 1 2
Cartesian
0.0000 0.0000 0.0000
2.9919 2.9919 2.9919
1.4960 1.4960 1.4960
4.4879 4.4879 4.4879
```